Computed, not measured: a PBEsol-optimized structure of Y2AsP at the meta-GGA SCAN level of DFT.

The structure in POSCAR format:
```
Y2AsP
1.0
3.994 0.000 0.000
0.000 3.994 0.000
-1.997 -1.997 5.413
As Y P
1 2 1
direct
0.500 0.500 0.000
0.000 0.000 0.000
0.750 0.250 0.500
0.250 0.750 0.500
```

Summary:
E_form (meV/atom): -1206
Final energy (eV per formula unit): -91.10
Crystal system: tetragonal
Symmetry: I-4m2 (119)



Computed, not measured: a PBEsol-optimized structure of LaHg2Pt at the meta-GGA SCAN level of DFT.

The structure in POSCAR format:
```
LaHg2Pt
1.0
-0.835 -3.848 -0.844
2.767 0.029 -2.867
4.542 0.160 4.385
Hg La Pt
2 1 1
direct
0.795 0.000 0.590
0.202 0.500 0.404
0.524 0.000 0.047
0.964 0.500 0.928
```

Summary:
E_form (meV/atom): -685
Final energy (eV per formula unit): -252.37
Crystal system: orthorhombic
Symmetry: Amm2 (38)



Computed, not measured: a PBEsol-optimized structure of CsTa3Se at the meta-GGA SCAN level of DFT.

The structure in POSCAR format:
```
CsTa3Se
1.0
4.992 0.000 0.000
0.000 4.992 0.000
0.000 0.000 4.992
Ta Cs Se
3 1 1
direct
0.500 0.000 0.000
0.000 0.500 0.000
0.000 0.000 0.500
0.000 0.000 0.000
0.500 0.500 0.500
```

Summary:
Formation energy from raw total energies (meV per atom): 3421
Final energy (eV per formula unit): -240.54
Crystal system: cubic
Symmetry: Pm-3m (221)



Computed, not measured: a PBEsol-optimized structure of Pb3Se at the meta-GGA SCAN level of DFT.

The structure in POSCAR format:
```
Pb3Se
1.0
3.808 0.000 0.000
0.000 5.436 0.004
0.000 -1.152 5.312
Pb Se
3 1
direct
0.000 0.500 0.500
0.500 0.500 0.000
0.500 0.000 0.500
0.000 0.000 0.000
```

Summary:
Formation energy from raw total energies (meV per atom): -66
Final energy (eV per formula unit): -247.69
Crystal system: orthorhombic
Symmetry: Cmmm (65)